Ag2TeBr | SCAN | PBEsol geometry

Unit cell a=7.4912 b=7.4912 c=7.4912 alpha=130.76 beta=130.76 gamma=72.19
With the nearest neighbours (Å) after each atom.
Positions (direct):
Ag 0.1211 0.6250 0.9961  2 Te 2.66, 2 Br 2.69
Ag 0.3750 0.3711 0.4961  2 Te 2.66, 2 Br 2.69
Ag 0.6289 0.1250 0.0039  2 Te 2.66, 2 Br 2.69
Ag 0.8750 0.8789 0.5039  2 Te 2.66, 2 Br 2.69
Te 0.0000 0.0000 0.0000  4 Ag 2.66
Te 0.7500 0.2500 0.5000  4 Ag 2.66
Br 0.2500 0.7500 0.5000  4 Ag 2.69
Br 0.5000 0.5000 0.0000  4 Ag 2.69

Summary:
Electronic total energy (Ry/atom): -2.202
Relative energy among the computed polymorphs (eV per formula unit): 0.32
Energy relative to the elements, uncorrected (meV/atom): -95
Density of states at the Fermi level (states/eV/f.u.): 3.3


Ag2TeBr | SCAN | PBEsol geometry

Unit cell a=3.3886 b=4.4441 c=6.3374 alpha=90.00 beta=90.00 gamma=90.00
With the nearest neighbours (Å) after each atom.
Positions (direct):
Ag 0.0000 0.0000 0.0000  4 Br 2.79
Ag 0.0000 0.5000 0.5000  4 Te 2.79
Te 0.5000 0.0000 0.5000  4 Ag 2.79
Br 0.5000 0.5000 0.0000  4 Ag 2.79

Summary:
Electronic total energy (Ry/atom): -2.196
Relative energy among the computed polymorphs (eV per formula unit): 0.65
Energy relative to the elements, uncorrected (meV/atom): -14
Density of states at the Fermi level (states/eV/f.u.): 1.9


AgTeBr4 | SCAN | PBEsol geometry

Unit cell a=6.0404 b=6.0404 c=6.0404 alpha=60.00 beta=60.00 gamma=60.00
With the nearest neighbours (Å) after each atom.
Positions (direct):
Ag 0.0000 0.0000 0.0000  12 Br 3.54, 4 Te 3.70
Te 0.7500 0.7500 0.7500  12 Br 3.54, 4 Ag 3.70
Br 0.3748 0.3748 0.3748  6 Br 3.01-3.03
Br 0.3748 0.3748 0.8757  6 Br 3.01-3.03
Br 0.3748 0.8757 0.3748  6 Br 3.01-3.03
Br 0.8757 0.3748 0.3748  6 Br 3.01-3.03

Summary:
Electronic total energy (Ry/atom): -1.737
Energy relative to the elements, uncorrected (meV/atom): 777
Density of states at the Fermi level (states/eV/f.u.): 6.1


Ag5Te2Br | SCAN | PBEsol geometry

Unit cell a=7.6331 b=13.6646 c=13.7767 alpha=90.00 beta=90.00 gamma=90.00
With the nearest neighbours (Å) after each atom.
Positions (direct):
Ag 0.0176 0.1411 0.1101  2 Te 2.77-2.80, 1 Br 2.80, 6 Ag 2.89-3.04
Ag 0.0176 0.3589 0.1101  2 Te 2.77-2.80, 1 Br 2.80, 6 Ag 2.89-3.04
Ag 0.0681 0.2500 0.9321  3 Te 2.81-2.90, 6 Ag 2.83-2.89
Ag 0.1090 0.5684 0.0774  1 Br 2.77, 4 Ag 2.83-2.98, 2 Te 2.84-2.89
Ag 0.1090 0.9316 0.0774  1 Br 2.77, 4 Ag 2.83-2.98, 2 Te 2.84-2.89
Ag 0.1317 0.1153 0.4380  3 Te 2.73-2.90, 3 Ag 2.83-3.04
Ag 0.1317 0.3847 0.4380  3 Te 2.73-2.90, 3 Ag 2.83-3.04
Ag 0.1455 0.7500 0.6139  3 Te 2.78-2.88, 4 Ag 2.89-2.97
Ag 0.2300 0.6474 0.2909  2 Te 2.77-2.81, 2 Br 2.78-2.86, 2 Ag 2.80-2.85
Ag 0.2300 0.8526 0.2909  2 Te 2.77-2.81, 2 Br 2.78-2.86, 2 Ag 2.80-2.85
Ag 0.2700 0.1474 0.7909  2 Te 2.77-2.81, 2 Br 2.78-2.86, 2 Ag 2.80-2.85
Ag 0.2700 0.3526 0.7909  2 Te 2.77-2.81, 2 Br 2.78-2.86, 2 Ag 2.80-2.85
Ag 0.3545 0.2500 0.1139  3 Te 2.78-2.88, 4 Ag 2.89-2.97
Ag 0.3683 0.6153 0.9380  3 Te 2.73-2.90, 3 Ag 2.83-3.04
Ag 0.3683 0.8847 0.9380  3 Te 2.73-2.90, 3 Ag 2.83-3.04
Ag 0.3910 0.0684 0.5774  1 Br 2.77, 4 Ag 2.83-2.98, 2 Te 2.84-2.89
Ag 0.3910 0.4316 0.5774  1 Br 2.77, 4 Ag 2.83-2.98, 2 Te 2.84-2.89
Ag 0.4319 0.7500 0.4321  3 Te 2.81-2.90, 6 Ag 2.83-2.89
Ag 0.4824 0.6411 0.6101  2 Te 2.77-2.80, 1 Br 2.80, 6 Ag 2.89-3.04
Ag 0.4824 0.8589 0.6101  2 Te 2.77-2.80, 1 Br 2.80, 6 Ag 2.89-3.04
Ag 0.5176 0.1411 0.3899  2 Te 2.77-2.80, 1 Br 2.80, 6 Ag 2.89-3.04
Ag 0.5176 0.3589 0.3899  2 Te 2.77-2.80, 1 Br 2.80, 6 Ag 2.89-3.04
Ag 0.5681 0.2500 0.5679  3 Te 2.81-2.90, 6 Ag 2.83-2.89
Ag 0.6090 0.5684 0.4226  1 Br 2.77, 4 Ag 2.83-2.98, 2 Te 2.84-2.89
Ag 0.6090 0.9316 0.4226  1 Br 2.77, 4 Ag 2.83-2.98, 2 Te 2.84-2.89
Ag 0.6317 0.1153 0.0620  3 Te 2.73-2.90, 3 Ag 2.83-3.04
Ag 0.6317 0.3847 0.0620  3 Te 2.73-2.90, 3 Ag 2.83-3.04
Ag 0.6455 0.7500 0.8861  3 Te 2.78-2.88, 4 Ag 2.89-2.97
Ag 0.7300 0.6474 0.2091  2 Te 2.77-2.81, 2 Br 2.78-2.86, 2 Ag 2.80-2.85
Ag 0.7300 0.8526 0.2091  2 Te 2.77-2.81, 2 Br 2.78-2.86, 2 Ag 2.80-2.85
Ag 0.7700 0.1474 0.7091  2 Te 2.77-2.81, 2 Br 2.78-2.86, 2 Ag 2.80-2.85
Ag 0.7700 0.3526 0.7091  2 Te 2.77-2.81, 2 Br 2.78-2.86, 2 Ag 2.80-2.85
Ag 0.8545 0.2500 0.3861  3 Te 2.78-2.88, 4 Ag 2.89-2.97
Ag 0.8683 0.6153 0.5620  3 Te 2.73-2.90, 3 Ag 2.83-3.04
Ag 0.8683 0.8847 0.5620  3 Te 2.73-2.90, 3 Ag 2.83-3.04
Ag 0.8910 0.0684 0.9226  1 Br 2.77, 4 Ag 2.83-2.98, 2 Te 2.84-2.89
Ag 0.8910 0.4316 0.9226  1 Br 2.77, 4 Ag 2.83-2.98, 2 Te 2.84-2.89
Ag 0.9319 0.7500 0.0679  3 Te 2.81-2.90, 6 Ag 2.83-2.89
Ag 0.9824 0.6411 0.8899  2 Te 2.77-2.80, 1 Br 2.80, 6 Ag 2.89-3.04
Ag 0.9824 0.8589 0.8899  2 Te 2.77-2.80, 1 Br 2.80, 6 Ag 2.89-3.04
Te 0.2086 0.5870 0.4858  7 Ag 2.80-2.90
Te 0.2086 0.9130 0.4858  7 Ag 2.80-2.90
Te 0.2122 0.2500 0.6206  5 Ag 2.77-2.89
Te 0.2493 0.7500 0.8077  5 Ag 2.73-2.78
Te 0.2507 0.2500 0.3077  5 Ag 2.73-2.78
Te 0.2878 0.7500 0.1206  5 Ag 2.77-2.89
Te 0.2914 0.0870 0.9858  7 Ag 2.80-2.90
Te 0.2914 0.4130 0.9858  7 Ag 2.80-2.90
Te 0.7086 0.5870 0.0142  7 Ag 2.80-2.90
Te 0.7086 0.9130 0.0142  7 Ag 2.80-2.90
Te 0.7122 0.2500 0.8794  5 Ag 2.77-2.89
Te 0.7493 0.7500 0.6923  5 Ag 2.73-2.78
Te 0.7507 0.2500 0.1923  5 Ag 2.73-2.78
Te 0.7878 0.7500 0.3794  5 Ag 2.77-2.89
Te 0.7914 0.0870 0.5142  7 Ag 2.80-2.90
Te 0.7914 0.4130 0.5142  7 Ag 2.80-2.90
Br 0.0145 0.0015 0.7454  4 Ag 2.77-2.86
Br 0.0145 0.4985 0.7454  4 Ag 2.77-2.86
Br 0.4855 0.5015 0.2454  4 Ag 2.77-2.86
Br 0.4855 0.9985 0.2454  4 Ag 2.77-2.86
Br 0.5145 0.0015 0.7546  4 Ag 2.77-2.86
Br 0.5145 0.4985 0.7546  4 Ag 2.77-2.86
Br 0.9855 0.5015 0.2546  4 Ag 2.77-2.86
Br 0.9855 0.9985 0.2546  4 Ag 2.77-2.86

Summary:
Electronic total energy (Ry/atom): -2.317
Energy relative to the elements, uncorrected (meV/atom): -168
Density of states at the Fermi level (states/eV/f.u.): 0.0


Ag2TeBr | SCAN | PBEsol geometry

Unit cell a=7.3967 b=7.3967 c=7.3967 alpha=30.62 beta=30.62 gamma=30.62
With the nearest neighbours (Å) after each atom.
Positions (direct):
Ag 0.2478 0.2478 0.2478  3 Te 2.83, 3 Br 2.89
Ag 0.7522 0.7522 0.7522  3 Te 2.83, 3 Br 2.89
Te 0.5000 0.5000 0.5000  6 Ag 2.83
Br 0.0000 0.0000 0.0000  6 Ag 2.89

Summary:
Electronic total energy (Ry/atom): -2.208
Relative energy among the computed polymorphs (eV per formula unit): 0.00
Energy relative to the elements, uncorrected (meV/atom): -176
Density of states at the Fermi level (states/eV/f.u.): 1.9


Ag2TeBr | SCAN | PBEsol geometry

Unit cell a=3.4604 b=4.3721 c=6.5845 alpha=90.00 beta=90.00 gamma=90.00
With the nearest neighbours (Å) after each atom.
Positions (direct):
Ag 0.0000 0.0000 0.0000  2 Te 2.72, 4 Ag 2.87, 2 Br 2.89
Ag 0.5000 0.5000 0.1050  2 Br 2.73, 4 Ag 2.87, 2 Te 2.89
Te 0.0000 0.5000 0.7534  4 Ag 2.72-2.89
Br 0.5000 0.0000 0.3525  4 Ag 2.73-2.89

Summary:
Electronic total energy (Ry/atom): -2.206
Relative energy among the computed polymorphs (eV per formula unit): 0.10
Energy relative to the elements, uncorrected (meV/atom): -150
Density of states at the Fermi level (states/eV/f.u.): 1.3


TiAgBr3 | SCAN | PBEsol geometry

Unit cell a=5.0673 b=5.0673 c=5.0673 alpha=90.00 beta=90.00 gamma=90.00
With the nearest neighbours (Å) after each atom.
Positions (direct):
Ti 0.0000 0.0000 0.0000  6 Br 2.53
Ag 0.5000 0.5000 0.5000  12 Br 3.58
Br 0.0000 0.0000 0.5000  2 Ti 2.53
Br 0.0000 0.5000 0.0000  2 Ti 2.53
Br 0.5000 0.0000 0.0000  2 Ti 2.53

Summary:
Electronic total energy (Ry/atom): -1.598
Energy relative to the elements, uncorrected (meV/atom): -585
Density of states at the Fermi level (states/eV/f.u.): 4.5


TiAgBr2 | SCAN | PBEsol geometry

Unit cell a=4.8246 b=4.8246 c=4.8246 alpha=60.00 beta=60.00 gamma=60.00
With the nearest neighbours (Å) after each atom.
Positions (direct):
Ti 0.0000 0.0000 0.0000  8 Br 2.95
Ag 0.5000 0.5000 0.5000  8 Br 2.95
Br 0.2500 0.2500 0.2500  4 Ti 2.95, 4 Ag 2.95
Br 0.7500 0.7500 0.7500  4 Ti 2.95, 4 Ag 2.95

Summary:
Electronic total energy (Ry/atom): -1.599
Energy relative to the elements, uncorrected (meV/atom): -174
Density of states at the Fermi level (states/eV/f.u.): 3.0